Density functional theory data (GGA-PBE) for crystalline SrLi4Nd at its relaxed geometry.

- Size of the total moment: 0.00 μB/f.u.
- Crystal system: cubic

Cell: 6.2086 6.2086 6.2086 Å, 60.00 60.00 60.00°
Closest atoms and distances in Å follow each position.
Element x y z (fractional)
Sr  0.0000  0.0000  0.0000  12 Li 3.64, 4 Nd 3.80
Li  0.6240  0.6240  0.6240  6 Li 3.08-3.13
Li  0.1281  0.6240  0.6240  6 Li 3.08-3.13
Li  0.6240  0.1281  0.6240  6 Li 3.08-3.13
Li  0.6240  0.6240  0.1281  6 Li 3.08-3.13
Nd  0.2500  0.2500  0.2500  12 Li 3.64, 4 Sr 3.80

Density functional theory data (GGA-PBE) for crystalline Sr2LiNd at its relaxed geometry.

- Size of the total moment: 0.00 μB/f.u.
- Crystal system: tetragonal
- Energy above the most stable polymorph in this dataset: 0 kJ/mol of formula units

Cell: 4.1487 4.1487 9.3123 Å, 90.00 90.00 90.00°
Closest atoms and distances in Å follow each position.
Element x y z (fractional)
Sr  0.0000  0.0000  0.2255  4 Li 3.61, 4 Nd 3.89
Sr  0.0000  0.0000  0.7745  4 Li 3.61, 4 Nd 3.89
Nd  0.5000  0.5000  0.5000  8 Sr 3.89, 4 Nd 4.15
Li  0.5000  0.5000  0.0000  8 Sr 3.61

Density functional theory data (GGA-PBE) for crystalline Sr2LiNd at its relaxed geometry.

- Size of the total moment: 0.14 μB/f.u.
- Crystal system: trigonal
- Energy above the most stable polymorph in this dataset: 12 kJ/mol of formula units

Cell: 3.9527 3.9527 12.3341 Å, 80.78 80.78 60.00°
Closest atoms and distances in Å follow each position.
Element x y z (fractional)
Sr  0.0796  0.0796  0.7611  3 Li 3.70, 3 Nd 3.91, 6 Sr 3.95
Sr  0.2536  0.2536  0.2390  3 Li 3.68, 3 Nd 3.89, 6 Sr 3.95
Li  0.6664  0.6664  0.0008  6 Sr 3.68-3.70, 6 Li 3.95
Nd  0.5003  0.5003  0.4990  6 Sr 3.89-3.91, 6 Nd 3.95

Density functional theory data (GGA-PBE) for crystalline Sr2LiNd at its relaxed geometry.

- Size of the total moment: 0.00 μB/f.u.
- Crystal system: tetragonal
- Energy above the most stable polymorph in this dataset: 16 kJ/mol of formula units

Cell: 4.2385 6.1920 6.1920 Å, 90.00 90.00 90.00°
Closest atoms and distances in Å follow each position.
Element x y z (fractional)
Sr  0.0000  0.5000  0.0000  4 Li 3.75, 4 Nd 3.75
Sr  0.0000  0.0000  0.5000  4 Nd 3.75, 4 Li 3.75
Nd  0.5000  0.0000  0.0000  8 Sr 3.75
Li  0.5000  0.5000  0.5000  8 Sr 3.75

Listing Fermi-level density of states for the structures above in their given order: 6.6 5.0 4.3 3.3 states/eV per cell.
Listing formation enthalpy at 0 K for the structures above in their given order: 0.101 0.130 0.161 0.173 eV per atom.